(1)
# PBE ZrCo2GeH, relaxed
# * energy relative to the lowest polymorph listed for this composition: 0.000 eV/atom
# * V: 60.2 Å³/f.u.
# * E: -6.577 eV/atom
data_ZrCo2GeH
_chemical_formula_sum 'Zr4 Co8 Ge4 H4'
_space_group_name_H-M_alt 'C m c m'
_space_group_IT_number 63
_space_group_name_Hall '-C 2c 2'
_cell_length_a 3.6445
_cell_length_b 9.8312
_cell_length_c 6.7231
_cell_angle_alpha 90.00
_cell_angle_beta 90.00
_cell_angle_gamma 90.00
loop_
_atom_site_label
_atom_site_type_symbol
_atom_site_fract_x
_atom_site_fract_y
_atom_site_fract_z
Zr1 Zr 0.0000 0.0634 0.2500
Co1 Co 0.0000 0.3448 0.0534
Ge1 Ge 0.0000 0.2201 0.7500
H1 H 0.0000 0.5000 0.0000

---

(2)
# PBE AcGdRu, relaxed
# * energy of formation: -0.12 eV per atom
# * energy relative to the lowest polymorph listed for this composition: 0.013 eV/atom
# * V: 87.9 Å³/f.u.
# * E: -9.280 eV/atom
data_AcGdRu
_chemical_formula_sum 'Ac2 Gd2 Ru2'
_space_group_name_H-M_alt 'I 4 m m'
_space_group_IT_number 107
_space_group_name_Hall 'I 4 -2'
_cell_length_a 3.5739
_cell_length_b 3.5739
_cell_length_c 13.7604
_cell_angle_alpha 90.00
_cell_angle_beta 90.00
_cell_angle_gamma 90.00
loop_
_atom_site_label
_atom_site_type_symbol
_atom_site_fract_x
_atom_site_fract_y
_atom_site_fract_z
Ac1 Ac 0.0000 0.0000 0.0000
Gd1 Gd 0.0000 0.0000 0.2497
Ru1 Ru 0.0000 0.0000 0.6374

---

(3)
# PBE CsPuScS4, relaxed
# * V: 215.0 Å³/f.u.
# * E: -6.888 eV/atom
# * formation energy (no corrections): -1.456 eV per atom
data_CsPuScS4
_chemical_formula_sum 'Cs2 Pu2 Sc2 S8'
_space_group_name_H-M_alt 'P 1 21/m 1'
_space_group_IT_number 11
_space_group_name_Hall '-P 2yb'
_cell_length_a 7.0665
_cell_length_b 6.8738
_cell_length_c 9.0028
_cell_angle_alpha 90.00
_cell_angle_beta 100.47
_cell_angle_gamma 90.00
loop_
_atom_site_label
_atom_site_type_symbol
_atom_site_fract_x
_atom_site_fract_y
_atom_site_fract_z
Cs1 Cs 0.1706 0.2500 0.0747
Pu1 Pu 0.1553 0.7500 0.4577
Sc1 Sc 0.3806 0.2500 0.6586
S1 S 0.1268 0.0047 0.6838
S2 S 0.2976 0.7500 0.1958
S3 S 0.4710 0.2500 0.4155